DFT (GGA+U) results for an optimized crystal structure of LiSm4Ti2Mn2O12.

Summary:
Spin magnetization ... 8.97 μB per cell
Uncorrected energy ... -8.115 eV/atom
ΔE to the lowest computed polymorph ... 0 meV/atom

```
data_LiSm4Ti2Mn2O12
_chemical_formula_sum 'Li1 Sm4 Ti2 Mn2 O12'
_space_group_name_H-M_alt 'P 1'
_space_group_IT_number 1
_space_group_name_Hall 'P 1'
_cell_length_a 5.468
_cell_length_b 6.027
_cell_length_c 7.886
_cell_angle_alpha 89.14
_cell_angle_beta 89.07
_cell_angle_gamma 88.36
loop_
_atom_site_label
_atom_site_type_symbol
_atom_site_fract_x
_atom_site_fract_y
_atom_site_fract_z
Li1 Li 0.000 0.000 0.000
Sm1 Sm 0.122 0.153 0.601
Sm2 Sm 0.183 0.341 0.142
Sm3 Sm 0.582 0.817 0.106
Sm4 Sm 0.652 0.664 0.593
Ti1 Ti 0.119 0.684 0.837
Ti2 Ti 0.652 0.234 0.361
Mn1 Mn 0.130 0.747 0.358
Mn2 Mn 0.621 0.240 0.856
O1 O 0.012 0.706 0.088
O2 O 0.255 0.777 0.620
O3 O 0.314 0.058 0.936
O4 O 0.344 0.053 0.312
O5 O 0.427 0.556 0.917
O6 O 0.466 0.546 0.301
O7 O 0.521 0.285 0.595
O8 O 0.779 0.185 0.118
O9 O 0.825 0.944 0.426
O10 O 0.846 0.911 0.799
O11 O 0.947 0.439 0.780
O12 O 0.950 0.419 0.408
```